Here is Rb2Cr3Se6 after structural relaxation from Alexandria via LeMat-Bulk. Energies are from PBE.

Crystal system ... monoclinic
Energy relative to the elements, uncorrected ... -8.2 eV/f.u.
N(E_F) ... 6.0 states/eV/f.u.
Theoretical density ... 4587 kg/m3
Energy ... -5.4459 eV/atom
Magnetization ... 8.1 μB per cell

The structure in extended XYZ format:
```
11
Lattice="-4.2551 3.4551 3.3629 -3.2662 -2.7298 4.8204 4.4183 3.3054 6.2965" Properties=species:S:1:pos:R:3 pbc="T T T"
Se -0.4329 1.5281 2.0128
Se 2.3308 2.0440 7.0163
Se -0.1822 2.2628 9.7603
Se -2.9208 1.7680 4.7195
Rb -2.4254 3.6225 7.5572
Rb -0.6776 0.4083 6.9226
Cr -2.5090 0.2343 2.7330
Se 0.5961 5.2325 7.6466
Cr 0.0000 0.0000 0.0000
Se -5.4338 1.9867 7.4635
Cr -5.0123 0.4910 5.4503
```